Record 1
# Cu2MoSe2, optimized geometry, DFT PBE
# total magnetic moment: 0.00 μB per formula unit
# energy above the lowest structure with this stoichiometry: 0.0 meV per atom
# SG: I4/mmm, No. 139
data_Cu2MoSe2
_chemical_formula_sum 'Cu2 Mo1 Se2'
_cell_length_a 3.235
_cell_length_b 3.235
_cell_length_c 8.389
_cell_angle_alpha 78.88
_cell_angle_beta 78.88
_cell_angle_gamma 90.00
_space_group_name_H-M_alt 'P 1'
_space_group_IT_number 1
_space_group_name_Hall 'P 1'
loop_
_atom_site_label
_atom_site_fract_x
_atom_site_fract_y
_atom_site_fract_z
Mo1 0.000 0.000 0.000
Cu1 0.750 0.250 0.500
Cu2 0.250 0.750 0.500
Se1 0.407 0.407 0.185
Se2 0.593 0.593 0.815

***

Record 2
# LiTeW2, optimized geometry, DFT PBE
# total magnetic moment: 0.00 μB per formula unit
# SG: C2/m, No. 12
data_LiTeW2
_chemical_formula_sum 'Li1 Te1 W2'
_cell_length_a 4.553
_cell_length_b 5.811
_cell_length_c 3.061
_cell_angle_alpha 74.26
_cell_angle_beta 91.17
_cell_angle_gamma 113.39
_space_group_name_H-M_alt 'P 1'
_space_group_IT_number 1
_space_group_name_Hall 'P 1'
loop_
_atom_site_label
_atom_site_fract_x
_atom_site_fract_y
_atom_site_fract_z
Li1 0.000 0.500 0.500
Te1 0.500 0.500 0.000
W1 0.000 0.000 0.000
W2 0.500 0.000 0.500

***

Number 1: total DFT energy (no corrections) -25.03 eV per formula unit. Number 2: total DFT energy (no corrections) -28.20 eV per formula unit.